Te3OsC | PBE | relaxed

abc: 5.231 5.231 5.231
angles: 90.00 90.00 90.00
Sites, in units of the cell vectors:
Te 0.000 0.000 0.500
Te 0.000 0.500 0.000
Te 0.500 0.000 0.000
Os 0.000 0.000 0.000
C 0.500 0.500 0.500

Computed properties:
- excess energy over the best structure of this formula in the dataset (eV/atom) = 0.444
- crystal system = cubic
- DOS at the Fermi energy (states/eV/atom) = 1.405
- space group = No. 221
- raw formation energy (eV/atom) = 2.00